No. 1
CoSi2B after structural relaxation. Source: the Open Quantum Materials Database, functional GGA-PBE.

Computed properties:
The value obtained for the total energy is -0.20284 hartree per atom. As for the magnetization: 0.01 μB/cell. Its space-group type is F-43m.

```
CoSi2B
1.0
0.228 1.686 3.556
-2.704 -0.823 2.748
0.983 -2.161 3.147
Si Co B
2 1 1
direct
0.750 0.750 0.750
0.000 0.000 0.000
0.250 0.250 0.250
0.500 0.500 0.500
```

---

No. 2
DyEr2Al7Cu2 after structural relaxation. Source: the Open Quantum Materials Database, functional GGA-PBE.

Computed properties:
The value obtained for the total energy is -0.16287 hartree per atom. As for the magnetization: 0.00 μB/cell. Its space-group type is R-3m.

```
DyEr2Al7Cu2
1.0
4.131 7.733 2.117
5.348 6.576 -3.084
0.519 8.814 -1.841
Dy Al Er Cu
1 7 2 2
direct
0.000 0.000 0.000
0.418 0.927 0.418
0.500 0.500 0.500
0.582 0.582 0.073
0.418 0.418 0.927
0.927 0.418 0.418
0.582 0.073 0.582
0.073 0.582 0.582
0.858 0.858 0.858
0.142 0.142 0.142
0.335 0.335 0.335
0.665 0.665 0.665
```

---

No. 3
LiCu2Pt after structural relaxation. Source: the Open Quantum Materials Database, functional GGA-PBE.

Computed properties:
The value obtained for the total energy is -0.14989 hartree per atom. As for the magnetization: 0.00 μB/cell. Its space-group type is F-43m.

```
LiCu2Pt
1.0
-1.056 -3.792 -1.301
-1.721 -2.693 2.641
-4.000 -1.019 -0.391
Pt Cu Li
1 2 1
direct
0.250 0.250 0.250
0.750 0.750 0.750
0.000 0.000 0.000
0.500 0.500 0.500
```

---

No. 4
Pr2MgPd2 after structural relaxation. Source: the Open Quantum Materials Database, functional GGA-PBE.

Computed properties:
The value obtained for the total energy is -0.18329 hartree per atom. As for the magnetization: 0.03 μB/cell. Its space-group type is P4/mbm.

```
Pr2MgPd2
1.0
-0.421 2.855 -7.184
2.003 -6.909 -2.863
-3.920 -1.058 -0.190
Pr Mg Pd
4 2 4
direct
0.328 0.172 0.500
0.172 0.672 0.500
0.672 0.828 0.500
0.828 0.328 0.500
0.500 0.500 0.000
0.000 0.000 0.000
0.131 0.369 0.000
0.869 0.631 0.000
0.631 0.131 0.000
0.369 0.869 0.000
```

---

No. 5
NbZnCoSb after structural relaxation. Source: the Open Quantum Materials Database, functional GGA-PBE.

Computed properties:
As for the magnetization: 0.92 μB/cell. Its space-group type is F-43m. The value obtained for the energy above the lowest structure with this stoichiometry is 24 kJ/mol of formula units.

```
NbZnCoSb
1.0
0.944 -4.421 -0.032
-3.351 -3.025 -0.247
-0.595 -2.411 -3.778
Zn Co Nb Sb
1 1 1 1
direct
0.250 0.250 0.250
0.750 0.750 0.750
0.500 0.500 0.500
0.000 0.000 0.000
```

---

No. 6
HoIr3C3 after structural relaxation. Source: the Open Quantum Materials Database, functional GGA-PBE.

Computed properties:
The value obtained for the total energy is -0.29932 hartree per atom. As for the magnetization: 0.00 μB/cell. Its space-group type is P6_3/mmc.

```
HoIr3C3
1.0
-0.266 -2.153 2.602
0.553 -1.182 -3.127
18.054 1.120 2.770
Ir Ho C
6 2 6
direct
0.667 0.333 0.250
0.667 0.333 0.871
0.333 0.667 0.371
0.667 0.333 0.629
0.333 0.667 0.129
0.333 0.667 0.750
0.000 0.000 0.000
0.000 0.000 0.500
0.667 0.333 0.087
0.333 0.667 0.587
0.667 0.333 0.413
0.333 0.667 0.913
0.667 0.333 0.750
0.333 0.667 0.250
```